Below is ScZnRu after structural relaxation, with properties calculated at the GGA-PBE level.

abc: 5.0015 5.0014 3.3146
angles: 70.65 70.65 38.70
Fractional coordinates of all 3 atoms:
Ru: 0.0061 0.0061 0.9939
Sc: 0.3410 0.3410 0.6590
Zn: 0.6529 0.6529 0.3471

Calculated values
Mass density (g/cm³): 7.23
Formation energy from the elements (meV per atom): -391
Total magnetization (μB/f.u.): 0.0
Symmetry: I4mm (107)
Fermi-level density of states (states/eV/cell): 2.1

---

Below is PrY3Sc2Te6 after structural relaxation, with properties calculated at the GGA-PBE level.

abc: 4.3117 8.7046 9.6690
angles: 102.27 102.88 90.00
Fractional coordinates of all 12 atoms:
Y: 0.8432 0.1668 0.6863
Y: 0.5000 0.5000 0.0000
Y: 0.1568 0.8332 0.3137
Sc: 0.1632 0.3303 0.3265
Sc: 0.8368 0.6697 0.6735
Te: 0.3256 0.9013 0.6511
Te: 0.9929 0.7372 0.9857
Te: 0.6744 0.0987 0.3489
Te: 0.0071 0.2628 0.0143
Te: 0.6717 0.5778 0.3434
Te: 0.3283 0.4222 0.6566
Pr: 0.5000 0.0000 0.0000

Calculated values
Mass density (g/cm³): 6.08
DFT total energy (eV/cell): -70.7
Total magnetization (μB/f.u.): 0.0
Symmetry: C2/m (12)
Fermi-level density of states (states/eV/cell): 7.9

---

Below is AcDy2MnN4 after structural relaxation, with properties calculated at the GGA-PBE level.

abc: 3.4859 6.1703 11.7256
angles: 90.00 90.00 106.41
Fractional coordinates of all 16 atoms:
Dy: 0.3695 0.7390 0.9547
Dy: 0.6305 0.2610 0.0453
Dy: 0.6305 0.2610 0.4547
Dy: 0.3695 0.7390 0.5453
N: 0.0000 0.0000 0.0000
N: 0.7349 0.4697 0.8762
N: 0.4165 0.8330 0.7500
N: 0.2651 0.5303 0.3762
N: 0.2651 0.5303 0.1238
N: 0.0000 0.0000 0.5000
N: 0.7349 0.4697 0.6238
N: 0.5835 0.1670 0.2500
Mn: 0.8323 0.6646 0.7500
Mn: 0.1677 0.3354 0.2500
Ac: 0.0994 0.1988 0.7500
Ac: 0.9006 0.8012 0.2500

Calculated values
Mass density (g/cm³): 9.10
DFT total energy (eV/cell): -130.5
Total magnetization (μB/f.u.): 3.6
Symmetry: Cmcm (63)
Fermi-level density of states (states/eV/cell): 7.3

---

- The highest Fermi-level density of states belongs to which entry?
  PrY3Sc2Te6